# 1
EuMgScAl | PBE | relaxed

Cell: 5.1756 5.1756 5.1756 Å, 60.00 60.00 60.00°
Closest atoms and distances in Å follow each position.
Fractional coordinates of all 4 atoms:
Eu: 0.7500 0.7500 0.7500  4 Mg 3.17, 4 Al 3.17
Sc: 0.2500 0.2500 0.2500  4 Mg 3.17, 4 Al 3.17
Mg: 0.5000 0.5000 0.5000  4 Eu 3.17, 4 Sc 3.17
Al: 0.0000 0.0000 0.0000  4 Eu 3.17, 4 Sc 3.17

Computed properties:
VASP energy = -22.58 eV per cell
Space group = F-43m
Energy of formation = -3.68 kcal/mol of atoms



# 2
EuMgAlSn | PBE | relaxed

Cell: 5.2004 5.2004 5.2004 Å, 60.00 60.00 60.00°
Closest atoms and distances in Å follow each position.
Fractional coordinates of all 4 atoms:
Eu: 0.0000 0.0000 0.0000  4 Sn 3.18, 4 Al 3.18
Mg: 0.5000 0.5000 0.5000  4 Sn 3.18, 4 Al 3.18
Sn: 0.2500 0.2500 0.2500  4 Eu 3.18, 4 Mg 3.18
Al: 0.7500 0.7500 0.7500  4 Eu 3.18, 4 Mg 3.18

Computed properties:
VASP energy = -20.56 eV per cell
Space group = F-43m
Energy of formation = -5.43 kcal/mol of atoms



# 3
TbEuMgAl | PBE | relaxed

Cell: 5.3439 5.3439 5.3439 Å, 60.00 60.00 60.00°
Closest atoms and distances in Å follow each position.
Fractional coordinates of all 4 atoms:
Eu: 0.2500 0.2500 0.2500  4 Mg 3.27, 4 Al 3.27
Mg: 0.0000 0.0000 0.0000  4 Tb 3.27, 4 Eu 3.27
Tb: 0.7500 0.7500 0.7500  4 Al 3.27, 4 Mg 3.27
Al: 0.5000 0.5000 0.5000  4 Tb 3.27, 4 Eu 3.27

Computed properties:
VASP energy = -21.01 eV per cell
Space group = F-43m
Energy of formation = -4.41 kcal/mol of atoms



# 4
EuThMgAl | PBE | relaxed

Cell: 5.3728 5.3728 5.3728 Å, 60.00 60.00 60.00°
Closest atoms and distances in Å follow each position.
Fractional coordinates of all 4 atoms:
Eu: 0.2500 0.2500 0.2500  4 Al 3.29, 4 Mg 3.29
Mg: 0.5000 0.5000 0.5000  4 Eu 3.29, 4 Th 3.29
Al: 0.0000 0.0000 0.0000  4 Th 3.29, 4 Eu 3.29
Th: 0.7500 0.7500 0.7500  4 Mg 3.29, 4 Al 3.29

Computed properties:
VASP energy = -23.31 eV per cell
Space group = F-43m
Energy of formation = -1.63 kcal/mol of atoms



# 5
EuYMgAl | PBE | relaxed

Cell: 5.3384 5.3384 5.3384 Å, 60.00 60.00 60.00°
Closest atoms and distances in Å follow each position.
Fractional coordinates of all 4 atoms:
Eu: 0.5000 0.5000 0.5000  4 Al 3.27, 4 Mg 3.27
Y: 0.0000 0.0000 0.0000  4 Mg 3.27, 4 Al 3.27
Mg: 0.2500 0.2500 0.2500  4 Eu 3.27, 4 Y 3.27
Al: 0.7500 0.7500 0.7500  4 Eu 3.27, 4 Y 3.27

Computed properties:
VASP energy = -22.89 eV per cell
Space group = F-43m
Energy of formation = -4.72 kcal/mol of atoms



# 6
EuMgAlZn | PBE | relaxed

Cell: 4.9933 4.9933 4.9933 Å, 60.00 60.00 60.00°
Closest atoms and distances in Å follow each position.
Fractional coordinates of all 4 atoms:
Eu: 0.0000 0.0000 0.0000  4 Al 3.06, 4 Zn 3.06
Zn: 0.7500 0.7500 0.7500  4 Eu 3.06, 4 Mg 3.06
Mg: 0.5000 0.5000 0.5000  4 Al 3.06, 4 Zn 3.06
Al: 0.2500 0.2500 0.2500  4 Mg 3.06, 4 Eu 3.06

Computed properties:
VASP energy = -17.72 eV per cell
Space group = F-43m
Energy of formation = -4.83 kcal/mol of atoms



# 7
EuMnAl3 | PBE | relaxed

Cell: 4.6307 4.6307 4.6307 Å, 90.00 90.00 90.00°
Closest atoms and distances in Å follow each position.
Fractional coordinates of all 5 atoms:
Eu: 0.5000 0.5000 0.5000  12 Al 3.27
Mn: 0.0000 0.0000 0.0000  6 Al 2.32
Al: 0.0000 0.5000 0.0000  2 Mn 2.32
Al: 0.0000 0.0000 0.5000  2 Mn 2.32
Al: 0.5000 0.0000 0.0000  2 Mn 2.32

Computed properties:
VASP energy = -31.96 eV per cell
Space group = Pm-3m
Energy of formation = -5.93 kcal/mol of atoms



# 8
NaEu2Al | PBE | relaxed

Cell: 3.8516 3.8516 9.1030 Å, 90.00 90.00 90.00°
Closest atoms and distances in Å follow each position.
Fractional coordinates of all 4 atoms:
Eu: 0.0000 0.0000 0.8032  4 Al 3.26, 1 Eu 3.58
Eu: 0.0000 0.0000 0.1968  4 Al 3.26, 1 Eu 3.58
Na: 0.5000 0.5000 0.5000  4 Na 3.85, 8 Eu 3.88
Al: 0.5000 0.5000 0.0000  8 Eu 3.26

Computed properties:
VASP energy = -26.00 eV per cell
Space group = P4/mmm
Energy of formation = -2.24 kcal/mol of atoms
Excess energy over the best structure of this formula in the dataset = 0 meV/atom